[1]
PrPaAu2 after structural relaxation, computed with GGA-PBE.

```
data_PrPaAu2
_cell_length_a 7.3453
_cell_length_b 7.3453
_cell_length_c 7.3453
_cell_angle_alpha 90.00
_cell_angle_beta 90.00
_cell_angle_gamma 90.00
_symmetry_space_group_name_H-M 'P 1'
_symmetry_Int_Tables_number 1
loop_
_symmetry_equiv_pos_as_xyz
'x,y,z'
loop_
_atom_site_label
_atom_site_type_symbol
_atom_site_fract_x
_atom_site_fract_y
_atom_site_fract_z
Pr1 Pr 0.0000 0.0000 0.0000
Pr2 Pr 0.0000 0.5000 0.5000
Pr3 Pr 0.5000 0.0000 0.5000
Pr4 Pr 0.5000 0.5000 0.0000
Pa1 Pa 0.0000 0.0000 0.5000
Pa2 Pa 0.0000 0.5000 0.0000
Pa3 Pa 0.5000 0.0000 0.0000
Pa4 Pa 0.5000 0.5000 0.5000
Au1 Au 0.2500 0.2500 0.2500
Au2 Au 0.2500 0.2500 0.7500
Au3 Au 0.2500 0.7500 0.2500
Au4 Au 0.2500 0.7500 0.7500
Au5 Au 0.7500 0.2500 0.2500
Au6 Au 0.7500 0.2500 0.7500
Au7 Au 0.7500 0.7500 0.2500
Au8 Au 0.7500 0.7500 0.7500
```

Computed properties:
The value obtained for the energy of formation from the pure elements is -0.3753 eV/atom. For the total energy, the calculation gives -5.58 eV/atom. The calculation puts the energy above the most stable polymorph in this dataset at 0.054 eV per atom.


[2]
Gd2HgSe after structural relaxation, computed with GGA-PBE.

```
data_Gd2HgSe
_cell_length_a 4.0449
_cell_length_b 4.0449
_cell_length_c 22.9496
_cell_angle_alpha 90.00
_cell_angle_beta 90.00
_cell_angle_gamma 120.00
_symmetry_space_group_name_H-M 'P 1'
_symmetry_Int_Tables_number 1
loop_
_symmetry_equiv_pos_as_xyz
'x,y,z'
loop_
_atom_site_label
_atom_site_type_symbol
_atom_site_fract_x
_atom_site_fract_y
_atom_site_fract_z
Gd1 Gd 0.0000 0.0000 0.2426
Gd2 Gd 0.0000 0.0000 0.7574
Gd3 Gd 0.3333 0.6667 0.4241
Gd4 Gd 0.3333 0.6667 0.9093
Gd5 Gd 0.6667 0.3333 0.0907
Gd6 Gd 0.6667 0.3333 0.5759
Hg1 Hg 0.0000 0.0000 0.0000
Hg2 Hg 0.3333 0.6667 0.6667
Hg3 Hg 0.6667 0.3333 0.3333
Se1 Se 0.0000 0.0000 0.5000
Se2 Se 0.3333 0.6667 0.1667
Se3 Se 0.6667 0.3333 0.8333
```

Computed properties:
Its formation energy without anion corrections is -4.43 eV/f.u. For the total energy, the calculation gives -9.10 eV/atom. The calculation puts the energy above the most stable polymorph in this dataset at 0.000 eV per atom.


[3]
CaLaHg2 after structural relaxation, computed with GGA-PBE.

```
data_CaLaHg2
_cell_length_a 7.7020
_cell_length_b 7.7020
_cell_length_c 7.7020
_cell_angle_alpha 90.00
_cell_angle_beta 90.00
_cell_angle_gamma 90.00
_symmetry_space_group_name_H-M 'P 1'
_symmetry_Int_Tables_number 1
loop_
_symmetry_equiv_pos_as_xyz
'x,y,z'
loop_
_atom_site_label
_atom_site_type_symbol
_atom_site_fract_x
_atom_site_fract_y
_atom_site_fract_z
Ca1 Ca 0.0000 0.0000 0.0000
Ca2 Ca 0.0000 0.5000 0.5000
Ca3 Ca 0.5000 0.0000 0.5000
Ca4 Ca 0.5000 0.5000 0.0000
La1 La 0.0000 0.0000 0.5000
La2 La 0.0000 0.5000 0.0000
La3 La 0.5000 0.0000 0.0000
La4 La 0.5000 0.5000 0.5000
Hg1 Hg 0.2500 0.2500 0.2500
Hg2 Hg 0.2500 0.2500 0.7500
Hg3 Hg 0.2500 0.7500 0.2500
Hg4 Hg 0.2500 0.7500 0.7500
Hg5 Hg 0.7500 0.2500 0.2500
Hg6 Hg 0.7500 0.2500 0.7500
Hg7 Hg 0.7500 0.7500 0.2500
Hg8 Hg 0.7500 0.7500 0.7500
```

Computed properties:
The value obtained for the energy of formation from the pure elements is -0.5681 eV/atom. For the total energy, the calculation gives -2.45 eV/atom. The calculation puts the energy above the most stable polymorph in this dataset at 0.000 eV per atom.


[4]
Pm2Pr2Ge3 after structural relaxation, computed with GGA-PBE.

```
data_Pm2Pr2Ge3
_cell_length_a 14.0140
_cell_length_b 4.2412
_cell_length_c 7.6825
_cell_angle_alpha 90.00
_cell_angle_beta 101.08
_cell_angle_gamma 90.00
_symmetry_space_group_name_H-M 'P 1'
_symmetry_Int_Tables_number 1
loop_
_symmetry_equiv_pos_as_xyz
'x,y,z'
loop_
_atom_site_label
_atom_site_type_symbol
_atom_site_fract_x
_atom_site_fract_y
_atom_site_fract_z
Pm1 Pm 0.1295 0.0000 0.3933
Pm2 Pm 0.3705 0.5000 0.6067
Pm3 Pm 0.6295 0.5000 0.3933
Pm4 Pm 0.8705 0.0000 0.6067
Pr1 Pr 0.1329 0.5000 0.8615
Pr2 Pr 0.3671 0.0000 0.1385
Pr3 Pr 0.6329 0.0000 0.8615
Pr4 Pr 0.8671 0.5000 0.1385
Ge1 Ge 0.0000 0.5000 0.5000
Ge2 Ge 0.2392 0.5000 0.2414
Ge3 Ge 0.2608 0.0000 0.7586
Ge4 Ge 0.5000 0.0000 0.5000
Ge5 Ge 0.7392 0.0000 0.2414
Ge6 Ge 0.7608 0.5000 0.7586
```

Computed properties:
The value obtained for the energy of formation from the pure elements is -0.6018 eV/atom. For the total energy, the calculation gives -5.30 eV/atom.


[5]
BaGa2PbAu2 after structural relaxation, computed with GGA-PBE.

```
data_BaGa2PbAu2
_cell_length_a 4.6088
_cell_length_b 4.6088
_cell_length_c 8.4224
_cell_angle_alpha 90.00
_cell_angle_beta 90.00
_cell_angle_gamma 120.00
_symmetry_space_group_name_H-M 'P 1'
_symmetry_Int_Tables_number 1
loop_
_symmetry_equiv_pos_as_xyz
'x,y,z'
loop_
_atom_site_label
_atom_site_type_symbol
_atom_site_fract_x
_atom_site_fract_y
_atom_site_fract_z
Ba1 Ba 0.0000 0.0000 0.0000
Ga1 Ga 0.3333 0.6667 0.7228
Ga2 Ga 0.6667 0.3333 0.2772
Pb1 Pb 0.0000 0.0000 0.5000
Au1 Au 0.3333 0.6667 0.2808
Au2 Au 0.6667 0.3333 0.7192
```

Computed properties:
The value obtained for the energy of formation from the pure elements is -0.4062 eV/atom. For the total energy, the calculation gives -3.45 eV/atom.


[6]
LiScV2 after structural relaxation, computed with GGA-PBE.

```
data_LiScV2
_cell_length_a 6.3370
_cell_length_b 6.3370
_cell_length_c 6.3370
_cell_angle_alpha 90.00
_cell_angle_beta 90.00
_cell_angle_gamma 90.00
_symmetry_space_group_name_H-M 'P 1'
_symmetry_Int_Tables_number 1
loop_
_symmetry_equiv_pos_as_xyz
'x,y,z'
loop_
_atom_site_label
_atom_site_type_symbol
_atom_site_fract_x
_atom_site_fract_y
_atom_site_fract_z
Li1 Li 0.0000 0.0000 0.0000
Li2 Li 0.0000 0.5000 0.5000
Li3 Li 0.5000 0.0000 0.5000
Li4 Li 0.5000 0.5000 0.0000
Sc1 Sc 0.0000 0.0000 0.5000
Sc2 Sc 0.0000 0.5000 0.0000
Sc3 Sc 0.5000 0.0000 0.0000
Sc4 Sc 0.5000 0.5000 0.5000
V1 V 0.2500 0.2500 0.2500
V2 V 0.2500 0.2500 0.7500
V3 V 0.2500 0.7500 0.2500
V4 V 0.2500 0.7500 0.7500
V5 V 0.7500 0.2500 0.2500
V6 V 0.7500 0.2500 0.7500
V7 V 0.7500 0.7500 0.2500
V8 V 0.7500 0.7500 0.7500
```

Computed properties:
The value obtained for the energy of formation from the pure elements is 0.7396 eV/atom. For the total energy, the calculation gives -5.88 eV/atom. The calculation puts the energy above the most stable polymorph in this dataset at 0.123 eV per atom.


[7]
MgOs2Br after structural relaxation, computed with GGA-PBE.

```
data_MgOs2Br
_cell_length_a 5.1839
_cell_length_b 8.7784
_cell_length_c 2.9540
_cell_angle_alpha 90.00
_cell_angle_beta 90.00
_cell_angle_gamma 90.00
_symmetry_space_group_name_H-M 'P 1'
_symmetry_Int_Tables_number 1
loop_
_symmetry_equiv_pos_as_xyz
'x,y,z'
loop_
_atom_site_label
_atom_site_type_symbol
_atom_site_fract_x
_atom_site_fract_y
_atom_site_fract_z
Mg1 Mg 0.0000 0.0000 0.0000
Mg2 Mg 0.5000 0.5000 0.0000
Os1 Os 0.2500 0.2500 0.5000
Os2 Os 0.2500 0.7500 0.5000
Os3 Os 0.7500 0.2500 0.5000
Os4 Os 0.7500 0.7500 0.5000
Br1 Br 0.0000 0.5000 0.0000
Br2 Br 0.5000 0.0000 0.0000
```

Computed properties:
Its formation energy without anion corrections is 4.54 eV/f.u. For the total energy, the calculation gives -5.30 eV/atom. The calculation puts the energy above the most stable polymorph in this dataset at 0.880 eV per atom.


[8]
MnCo after structural relaxation, computed with GGA-PBE.

```
data_MnCo
_cell_length_a 4.4356
_cell_length_b 4.4356
_cell_length_c 4.4356
_cell_angle_alpha 90.00
_cell_angle_beta 90.00
_cell_angle_gamma 90.00
_symmetry_space_group_name_H-M 'P 1'
_symmetry_Int_Tables_number 1
loop_
_symmetry_equiv_pos_as_xyz
'x,y,z'
loop_
_atom_site_label
_atom_site_type_symbol
_atom_site_fract_x
_atom_site_fract_y
_atom_site_fract_z
Mn1 Mn 0.1016 0.1016 0.1016
Mn2 Mn 0.3984 0.8984 0.6016
Mn3 Mn 0.6016 0.3984 0.8984
Mn4 Mn 0.8984 0.6016 0.3984
Co1 Co 0.0998 0.5998 0.9002
Co2 Co 0.4002 0.4002 0.4002
Co3 Co 0.5998 0.9002 0.0998
Co4 Co 0.9002 0.0998 0.5998
```

Computed properties:
The value obtained for the energy of formation from the pure elements is 0.2579 eV/atom. For the total energy, the calculation gives -7.88 eV/atom.


[9]
Ac2CdRh4Pb3 after structural relaxation, computed with GGA-PBE.

```
data_Ac2CdRh4Pb3
_cell_length_a 4.5227
_cell_length_b 4.5227
_cell_length_c 11.7302
_cell_angle_alpha 90.00
_cell_angle_beta 90.00
_cell_angle_gamma 90.00
_symmetry_space_group_name_H-M 'P 1'
_symmetry_Int_Tables_number 1
loop_
_symmetry_equiv_pos_as_xyz
'x,y,z'
loop_
_atom_site_label
_atom_site_type_symbol
_atom_site_fract_x
_atom_site_fract_y
_atom_site_fract_z
Ac1 Ac 0.0000 0.5000 0.2473
Ac2 Ac 0.5000 0.0000 0.7527
Cd1 Cd 0.5000 0.5000 0.0000
Rh1 Rh 0.0000 0.0000 0.5000
Rh2 Rh 0.0000 0.5000 0.8572
Rh3 Rh 0.5000 0.0000 0.1428
Rh4 Rh 0.5000 0.5000 0.5000
Pb1 Pb 0.0000 0.0000 0.0000
Pb2 Pb 0.0000 0.5000 0.6262
Pb3 Pb 0.5000 0.0000 0.3738
```

Computed properties:
The value obtained for the energy of formation from the pure elements is -0.3952 eV/atom. For the total energy, the calculation gives -5.36 eV/atom.


[10]
IrPtS after structural relaxation, computed with GGA-PBE.

```
data_IrPtS
_cell_length_a 6.4683
_cell_length_b 2.8718
_cell_length_c 6.2181
_cell_angle_alpha 90.00
_cell_angle_beta 119.48
_cell_angle_gamma 90.00
_symmetry_space_group_name_H-M 'P 1'
_symmetry_Int_Tables_number 1
loop_
_symmetry_equiv_pos_as_xyz
'x,y,z'
loop_
_atom_site_label
_atom_site_type_symbol
_atom_site_fract_x
_atom_site_fract_y
_atom_site_fract_z
Ir1 Ir 0.0000 0.0000 0.0000
Ir2 Ir 0.5000 0.5000 0.0000
Pt1 Pt 0.4723 0.0000 0.3510
Pt2 Pt 0.9723 0.5000 0.3510
S1 S 0.0972 0.5000 0.7696
S2 S 0.5972 0.0000 0.7696
```

Computed properties:
Its formation energy without anion corrections is 0.07 eV/f.u. For the total energy, the calculation gives -6.32 eV/atom. The calculation puts the energy above the most stable polymorph in this dataset at 0.046 eV per atom.


[11]
Cd2ReOs after structural relaxation, computed with GGA-PBE.

```
data_Cd2ReOs
_cell_length_a 3.8770
_cell_length_b 3.8770
_cell_length_c 4.5818
_cell_angle_alpha 90.00
_cell_angle_beta 90.00
_cell_angle_gamma 90.00
_symmetry_space_group_name_H-M 'P 1'
_symmetry_Int_Tables_number 1
loop_
_symmetry_equiv_pos_as_xyz
'x,y,z'
loop_
_atom_site_label
_atom_site_type_symbol
_atom_site_fract_x
_atom_site_fract_y
_atom_site_fract_z
Cd1 Cd 0.0000 0.5000 0.0000
Cd2 Cd 0.5000 0.0000 0.0000
Re1 Re 0.0000 0.0000 0.5000
Os1 Os 0.5000 0.5000 0.5000
```

Computed properties:
The value obtained for the energy of formation from the pure elements is 0.8333 eV/atom. For the total energy, the calculation gives -5.54 eV/atom. The calculation puts the energy above the most stable polymorph in this dataset at 0.624 eV per atom.


[12]
K2In2Pd after structural relaxation, computed with GGA-PBE.

```
data_K2In2Pd
_cell_length_a 4.7195
_cell_length_b 4.7195
_cell_length_c 31.0985
_cell_angle_alpha 90.00
_cell_angle_beta 90.00
_cell_angle_gamma 120.00
_symmetry_space_group_name_H-M 'P 1'
_symmetry_Int_Tables_number 1
loop_
_symmetry_equiv_pos_as_xyz
'x,y,z'
loop_
_atom_site_label
_atom_site_type_symbol
_atom_site_fract_x
_atom_site_fract_y
_atom_site_fract_z
K1 K 0.0000 0.0000 0.0689
K2 K 0.0000 0.0000 0.9311
K3 K 0.3333 0.6667 0.5977
K4 K 0.3333 0.6667 0.7356
K5 K 0.6667 0.3333 0.2644
K6 K 0.6667 0.3333 0.4023
In1 In 0.0000 0.0000 0.1879
In2 In 0.0000 0.0000 0.8121
In3 In 0.3333 0.6667 0.4788
In4 In 0.3333 0.6667 0.8545
In5 In 0.6667 0.3333 0.1455
In6 In 0.6667 0.3333 0.5212
Pd1 Pd 0.0000 0.0000 0.5000
Pd2 Pd 0.3333 0.6667 0.1667
Pd3 Pd 0.6667 0.3333 0.8333
```

Computed properties:
The value obtained for the energy of formation from the pure elements is -0.2111 eV/atom. For the total energy, the calculation gives -2.78 eV/atom. The calculation puts the energy above the most stable polymorph in this dataset at 0.000 eV per atom.